Computed, not measured: a relaxed structure of LaMnMo2 at the PBE-GGA level of DFT.

Calculated values
energy above the most stable polymorph in this dataset: 138 meV/atom
formation energy: 43.5 kJ/mol of atoms
E: -0.312 Ha/atom
space-group type: No. 123

abc: 3.2816 3.2824 7.2271
angles: 90.00 90.00 90.00
Last column: magnetic moment on the atom in μB.
Fractional coordinates of all 4 atoms:
La: 0.5000 0.5000 0.2500  0.02
Mn: 0.5000 0.5000 0.7500  1.83
Mo: 0.0000 0.0000 0.9151  -0.18
Mo: 0.0000 0.0000 0.5849  -0.18


Computed, not measured: a relaxed structure of NaNdCrN3 at the PBE-GGA level of DFT.

Calculated values
E: -0.265 Ha/atom
space-group type: No. 12
energy relative to the elements, uncorrected: -0.439 eV/atom

abc: 3.6958 7.0673 7.1896
angles: 105.67 90.00 105.16
Fractional coordinates of all 12 atoms:
Na: 0.3750 0.7501 0.9253
Na: 0.6250 0.2499 0.0747
Nd: 0.6647 0.3293 0.6159
Nd: 0.3353 0.6707 0.3841
Cr: 0.0089 0.0177 0.3142
Cr: 0.9911 0.9823 0.6858
N: 0.8793 0.7586 0.1741
N: 0.8491 0.6982 0.6575
N: 0.5142 0.0283 0.3357
N: 0.1509 0.3018 0.3425
N: 0.4858 0.9717 0.6643
N: 0.1207 0.2414 0.8259


Computed, not measured: a relaxed structure of ZrCd4Cl at the PBE-GGA level of DFT.

Calculated values
E: -0.081 Ha/atom
space-group type: No. 216
energy relative to the elements, uncorrected: 0.142 eV/atom

abc: 5.8580 5.8580 5.8580
angles: 60.00 60.00 60.00
Last column: magnetic moment on the atom in μB.
Fractional coordinates of all 6 atoms:
Zr: 0.0000 0.0000 0.0000  1.11
Cd: 0.8775 0.3742 0.3742  0.03
Cd: 0.3742 0.3742 0.8775  0.03
Cd: 0.3742 0.8775 0.3742  0.03
Cd: 0.3742 0.3742 0.3742  0.03
Cl: 0.7500 0.7500 0.7500  0.03


Computed, not measured: a relaxed structure of MnSbAu2 at the PBE-GGA level of DFT.

Calculated values
E: -0.180 Ha/atom
space-group type: No. 139
energy relative to the elements, uncorrected: 0.056 eV/atom

abc: 5.2839 5.2839 5.2839
angles: 133.46 133.47 67.93
Last column: magnetic moment on the atom in μB.
Fractional coordinates of all 4 atoms:
Au: 0.0000 0.0000 0.0000  0.01
Au: 0.5000 0.5000 0.0000  0.01
Mn: 0.2500 0.7500 0.5000  3.91
Sb: 0.7500 0.2500 0.5000  -0.03


Computed, not measured: a relaxed structure of Mn3InGa at the PBE-GGA level of DFT.

Calculated values
energy above the most stable polymorph in this dataset: 0 meV/atom
formation energy: 62.2 kJ/mol of atoms
E: -0.221 Ha/atom
space-group type: No. 221

abc: 4.6102 4.6102 4.6102
angles: 90.00 90.00 90.00
Last column: magnetic moment on the atom in μB.
Fractional coordinates of all 5 atoms:
Mn: 0.0000 0.5000 0.0000  3.52
Mn: 0.0000 0.0000 0.5000  3.74
Mn: 0.5000 0.0000 0.0000  3.32
Ga: 0.0000 0.0000 0.0000  -0.20
In: 0.5000 0.5000 0.5000  -0.16


Computed, not measured: a relaxed structure of EuAgP at the PBE-GGA level of DFT.

Calculated values
formation energy: -69.7 kJ/mol of atoms
E: -0.254 Ha/atom
space-group type: No. 187

abc: 4.1740 4.3351 4.3351
angles: 120.00 90.00 90.00
Last column: magnetic moment on the atom in μB.
Fractional coordinates of all 3 atoms:
Eu: 0.6669 0.6667 0.3333  6.82
P: 0.1659 0.0000 0.0000  -0.06
Ag: 0.1672 0.3333 0.6667  0.00


Computed, not measured: a relaxed structure of PtPb4Cl at the PBE-GGA level of DFT.

Calculated values
E: -0.126 Ha/atom
space-group type: No. 216
energy relative to the elements, uncorrected: 0.370 eV/atom

abc: 6.3004 6.3004 6.3004
angles: 60.00 60.00 60.00
Fractional coordinates of all 6 atoms:
Pt: 0.7500 0.7500 0.7500
Pb: 0.8727 0.3758 0.3758
Pb: 0.3758 0.3758 0.8727
Pb: 0.3758 0.8727 0.3758
Pb: 0.3758 0.3758 0.3758
Cl: 0.0000 0.0000 0.0000


Computed, not measured: a relaxed structure of SrMo3Pd at the PBE-GGA level of DFT.

Calculated values
energy above the most stable polymorph in this dataset: 1313 meV/atom
formation energy: 287.5 kJ/mol of atoms
E: -0.180 Ha/atom
space-group type: No. 221

abc: 4.6917 4.6917 4.6917
angles: 90.00 90.00 90.00
Fractional coordinates of all 5 atoms:
Sr: 0.0000 0.0000 0.0000
Mo: 0.0000 0.5000 0.0000
Mo: 0.0000 0.0000 0.5000
Mo: 0.5000 0.0000 0.0000
Pd: 0.5000 0.5000 0.5000